1.
Below is crystalline Be2ZnCl at its relaxed geometry, with properties calculated at the PBE-GGA level.

Its crystal system is monoclinic. As for the formation energy without anion corrections: 0.577 eV per formula unit. For the energy above the most stable polymorph in this dataset, the calculation gives 9.3 kJ/mol of atoms.

It has space group C2/m (No. 12), with a = 8.034 Å, b = 3.037 Å, c = 6.149 Å, α = 90.00°, β = 122.48° and γ = 90.00°. The inequivalent atoms are Be at (0.155, 0.000, 0.364), Zn at (0.000, 0.500, 0.500) and Cl at (0.000, 0.500, 0.000).

***

2.
Below is crystalline NaZnS2 at its relaxed geometry, with properties calculated at the PBE-GGA level.

Its crystal system is tetragonal. As for the formation energy without anion corrections: -2.280 eV per formula unit.

It has space group I-42d (No. 122), with a = 6.792 Å, b = 6.792 Å, c = 7.424 Å, α = 90.00°, β = 90.00° and γ = 90.00°. The inequivalent atoms are Na at (0.000, 0.000, 0.000), Zn at (0.000, 0.000, 0.500) and S at (0.186, 0.750, 0.625).

***

3.
Below is crystalline MnMo2PbC at its relaxed geometry, with properties calculated at the PBE-GGA level.

The calculation puts the formation energy at 1022 meV per atom. Its crystal system is tetragonal.

It has space group P4/mmm (No. 123), with a = 4.054 Å, b = 4.054 Å, c = 4.954 Å, α = 90.00°, β = 90.00° and γ = 90.00°. The inequivalent atoms are Mn at (0.000, 0.000, 0.000), Mo at (0.000, 0.500, 0.500), Pb at (0.500, 0.500, 0.000) and C at (0.500, 0.500, 0.500).

***

4.
Below is crystalline La2CeVN4 at its relaxed geometry, with properties calculated at the PBE-GGA level.

Its crystal system is orthorhombic. As for the formation energy without anion corrections: -9.046 eV per formula unit.

It has space group Cmcm (No. 63), with a = 3.468 Å, b = 11.920 Å, c = 12.652 Å, α = 90.00°, β = 90.00° and γ = 90.00°. The inequivalent atoms are La at (0.000, 0.133, 0.043), Ce at (0.000, 0.413, 0.250), V at (0.000, 0.321, 0.750), N at (0.000, 0.082, 0.250), N at (0.000, 0.224, 0.641) and N at (0.000, 0.500, 0.000).

***

5.
Below is crystalline FeCoPt2 at its relaxed geometry, with properties calculated at the PBE-GGA level.

The calculation puts the formation energy at -193 meV per atom. Its crystal system is tetragonal.

It has space group I4/mmm (No. 139), with a = 3.836 Å, b = 3.836 Å, c = 7.509 Å, α = 90.00°, β = 90.00° and γ = 90.00°. The inequivalent atoms are Fe at (0.000, 0.000, 0.000), Co at (0.000, 0.000, 0.500) and Pt at (0.000, 0.500, 0.250).

***

6.
Below is crystalline Na3As3Pd2 at its relaxed geometry, with properties calculated at the PBE-GGA level.

The calculation puts the formation energy at -411 meV per atom. Its crystal system is orthorhombic. For the energy above the most stable polymorph in this dataset, the calculation gives 0.0 kJ/mol of atoms.

It has space group Cmcm (No. 63), with a = 4.398 Å, b = 10.612 Å, c = 13.954 Å, α = 90.00°, β = 90.00° and γ = 90.00°. The inequivalent atoms are Na at (0.000, 0.081, 0.123), Na at (0.000, 0.374, 0.250), As at (0.000, 0.323, 0.750), As at (0.000, 0.389, 0.035) and Pd at (0.000, 0.212, 0.587).

***

7.
Below is crystalline SiPdNF2 at its relaxed geometry, with properties calculated at the PBE-GGA level.

Its crystal system is tetragonal. As for the formation energy without anion corrections: 0.936 eV per formula unit. For the energy above the most stable polymorph in this dataset, the calculation gives 87.2 kJ/mol of atoms.

It has space group P4/mmm (No. 123), with a = 4.363 Å, b = 4.363 Å, c = 3.793 Å, α = 90.00°, β = 90.00° and γ = 90.00°. The inequivalent atoms are Si at (0.000, 0.000, 0.000), Pd at (0.500, 0.500, 0.500), N at (0.500, 0.500, 0.000) and F at (0.000, 0.500, 0.500).

***

8.
Below is crystalline ZrCrHg at its relaxed geometry, with properties calculated at the PBE-GGA level.

The calculation puts the formation energy at 167 meV per atom. Its crystal system is tetragonal. For the energy above the most stable polymorph in this dataset, the calculation gives 0.0 kJ/mol of atoms.

It has space group I4mm (No. 107), with a = 3.204 Å, b = 3.204 Å, c = 11.408 Å, α = 90.00°, β = 90.00° and γ = 90.00°. The inequivalent atoms are Zr at (0.000, 0.000, 0.000), Cr at (0.000, 0.000, 0.653) and Hg at (0.000, 0.000, 0.309).

***

> Number 2 is which compound?

NaZnS2

***

> Number 4 is which compound?

La2CeVN4